# SnMoPb2C, optimized geometry, DFT PBE
# calculated volume	117.29	Å³/cell
data_SnMoPb2C
_chemical_formula_sum 'Sn1 Mo1 Pb2 C1'
_cell_length_a 5.1403
_cell_length_b 5.1403
_cell_length_c 4.4389
_cell_angle_alpha 90.00
_cell_angle_beta 90.00
_cell_angle_gamma 90.00
_space_group_name_H-M_alt 'P 4/m m m'
_space_group_IT_number 123
_space_group_name_Hall '-P 4 2'
loop_
_atom_site_label
_atom_site_type_symbol
_atom_site_fract_x
_atom_site_fract_y
_atom_site_fract_z
Sn1 Sn 0.0000 0.0000 0.0000
Mo1 Mo 0.5000 0.5000 0.0000
Pb1 Pb 0.0000 0.5000 0.5000
C1 C 0.0000 0.0000 0.5000

---

# YMo2PbC, optimized geometry, DFT PBE
# calculated volume	114.26	Å³/cell
data_YMo2PbC
_chemical_formula_sum 'Y1 Mo2 Pb1 C1'
_cell_length_a 5.1435
_cell_length_b 5.1435
_cell_length_c 4.3189
_cell_angle_alpha 90.00
_cell_angle_beta 90.00
_cell_angle_gamma 90.00
_space_group_name_H-M_alt 'P 4/m m m'
_space_group_IT_number 123
_space_group_name_Hall '-P 4 2'
loop_
_atom_site_label
_atom_site_type_symbol
_atom_site_fract_x
_atom_site_fract_y
_atom_site_fract_z
Y1 Y 0.0000 0.0000 0.0000
Mo1 Mo 0.0000 0.5000 0.0000
Pb1 Pb 0.5000 0.5000 0.5000
C1 C 0.0000 0.0000 0.5000

---

# Y2MoPbC, optimized geometry, DFT PBE
# calculated volume	104.31	Å³/cell
data_Y2MoPbC
_chemical_formula_sum 'Y2 Mo1 Pb1 C1'
_cell_length_a 5.0157
_cell_length_b 5.0157
_cell_length_c 4.1465
_cell_angle_alpha 90.00
_cell_angle_beta 90.00
_cell_angle_gamma 90.00
_space_group_name_H-M_alt 'P 4/m m m'
_space_group_IT_number 123
_space_group_name_Hall '-P 4 2'
loop_
_atom_site_label
_atom_site_type_symbol
_atom_site_fract_x
_atom_site_fract_y
_atom_site_fract_z
Y1 Y 0.0000 0.5000 0.0000
Mo1 Mo 0.0000 0.0000 0.5000
Pb1 Pb 0.5000 0.5000 0.5000
C1 C 0.0000 0.0000 0.0000

---

# MoPdC3, optimized geometry, DFT PBE
# calculated volume	60.69	Å³/cell
data_MoPdC3
_chemical_formula_sum 'Mo1 Pd1 C3'
_cell_length_a 3.9298
_cell_length_b 3.9298
_cell_length_c 3.9298
_cell_angle_alpha 90.00
_cell_angle_beta 90.00
_cell_angle_gamma 90.00
_space_group_name_H-M_alt 'P m -3 m'
_space_group_IT_number 221
_space_group_name_Hall '-P 4 2 3'
loop_
_atom_site_label
_atom_site_type_symbol
_atom_site_fract_x
_atom_site_fract_y
_atom_site_fract_z
Mo1 Mo 0.0000 0.0000 0.0000
Pd1 Pd 0.5000 0.5000 0.5000
C1 C 0.0000 0.5000 0.5000

---

# Mo3PdC, optimized geometry, DFT PBE
# calculated volume	104.58	Å³/cell
data_Mo3PdC
_chemical_formula_sum 'Mo3 Pd1 C1'
_cell_length_a 4.7114
_cell_length_b 4.7114
_cell_length_c 4.7114
_cell_angle_alpha 90.00
_cell_angle_beta 90.00
_cell_angle_gamma 90.00
_space_group_name_H-M_alt 'P m -3 m'
_space_group_IT_number 221
_space_group_name_Hall '-P 4 2 3'
loop_
_atom_site_label
_atom_site_type_symbol
_atom_site_fract_x
_atom_site_fract_y
_atom_site_fract_z
Mo1 Mo 0.0000 0.0000 0.5000
Pd1 Pd 0.0000 0.0000 0.0000
C1 C 0.5000 0.5000 0.5000

---

# Mo3PdC, optimized geometry, DFT PBE
# calculated volume	70.99	Å³/cell
data_Mo3PdC
_chemical_formula_sum 'Mo3 Pd1 C1'
_cell_length_a 4.1407
_cell_length_b 4.1407
_cell_length_c 4.1407
_cell_angle_alpha 90.00
_cell_angle_beta 90.00
_cell_angle_gamma 90.00
_space_group_name_H-M_alt 'P m -3 m'
_space_group_IT_number 221
_space_group_name_Hall '-P 4 2 3'
loop_
_atom_site_label
_atom_site_type_symbol
_atom_site_fract_x
_atom_site_fract_y
_atom_site_fract_z
Mo1 Mo 0.0000 0.0000 0.5000
Pd1 Pd 0.5000 0.5000 0.5000
C1 C 0.0000 0.0000 0.0000

---

| no. | total DFT energy (no corrections) (eV per atom) |
| --- | --- |
| 1 | -4.862 |
| 2 | -5.786 |
| 3 | -7.625 |
| 4 | -5.951 |
| 5 | -6.158 |
| 6 | -9.294 |